## Th6GeAs3S2 (PBE-GGA)

Data for Th6GeAs3S2 after structural relaxation.

abc: 7.2507 12.5805 7.2907
angles: 90.00 109.45 90.00
Last column: nearest neighbours and their distance in Å.
Space group C2/m (No. 12)
Asymmetric unit:
Th  0.2434  0.0000  0.2424 [4 per cell]  2 S 2.93, 1 Ge 2.96, 3 As 2.97-2.99
Th  0.2500  0.1686  0.7567 [8 per cell]  2 S 2.93, 1 Ge 2.96, 3 As 2.99-3.01
Ge  0.0000  0.5000  0.0000 [2 per cell]  6 Th 2.96
As  0.0000  0.0000  0.5000 [2 per cell]  6 Th 2.97-3.00
As  0.0000  0.3354  0.5000 [4 per cell]  6 Th 2.99-3.01
S  0.0000  0.1671  0.0000 [4 per cell]  6 Th 2.93

## Properties
Energy relative to the elements, uncorrected   -1.45 eV per atom
Density   9.29 Mg/m³
Spin magnetization   0.00 μB/cell